[1]
Material: GaNi3As
Method: DFT, GGA-PBE
State: relaxed

Geometry as CIF:
```
data_GaNi3As
_chemical_formula_sum 'Ga1 Ni3 As1'
_symmetry_space_group_name_H-M 'P m -3 m'
_symmetry_Int_Tables_number 221
_symmetry_space_group_name_Hall '-P 4 2 3'
_cell_length_a 4.339
_cell_length_b 4.339
_cell_length_c 4.339
_cell_angle_alpha 90.00
_cell_angle_beta 90.00
_cell_angle_gamma 90.00
loop_
_atom_site_label
_atom_site_type_symbol
_atom_site_fract_x
_atom_site_fract_y
_atom_site_fract_z
Ga1 Ga 0.000 0.000 0.000
Ni1 Ni 0.000 0.500 0.500
As1 As 0.500 0.500 0.500
```

Values from the calculation:
* total magnetization: 0.0 μB per cell
* D(E_F): 2.3 states/eV/cell
* ΔH_f (0 K): 0.36 eV per atom
* energy relative to the lowest polymorph listed for this composition: 3.09 eV per formula unit

=====

[2]
Material: TcH4
Method: DFT, GGA-PBE
State: relaxed

Geometry as CIF:
```
data_TcH4
_chemical_formula_sum 'Tc1 H4'
_symmetry_space_group_name_H-M 'P m -3 m'
_symmetry_Int_Tables_number 221
_symmetry_space_group_name_Hall '-P 4 2 3'
_cell_length_a 3.412
_cell_length_b 3.412
_cell_length_c 3.412
_cell_angle_alpha 90.00
_cell_angle_beta 90.00
_cell_angle_gamma 90.00
loop_
_atom_site_label
_atom_site_type_symbol
_atom_site_fract_x
_atom_site_fract_y
_atom_site_fract_z
Tc1 Tc 0.000 0.000 0.000
H1 H 0.000 0.000 0.500
H2 H 0.500 0.500 0.500
```

Values from the calculation:
* total magnetization: 1.2 μB per cell
* raw total energy: -3.87 eV/atom
* D(E_F): 1.5 states/eV/cell

=====

[3]
Material: Rb2DyZn2Te4
Method: DFT, GGA-PBE
State: relaxed

Geometry as CIF:
```
data_Rb2DyZn2Te4
_chemical_formula_sum 'Rb4 Dy2 Zn4 Te8'
_symmetry_space_group_name_H-M 'C 1 2/m 1'
_symmetry_Int_Tables_number 12
_cell_length_a 16.418
_cell_length_b 4.754
_cell_length_c 8.510
_cell_angle_alpha 90.00
_cell_angle_beta 108.94
_cell_angle_gamma 90.00
loop_
_symmetry_equiv_pos_as_xyz
'x,y,z'
'-x,-y,-z'
'-x,y,-z'
'x,-y,z'
'x+1/2,y+1/2,z'
'-x+1/2,-y+1/2,-z'
'-x+1/2,y+1/2,-z'
'x+1/2,-y+1/2,z'
loop_
_atom_site_label
_atom_site_type_symbol
_atom_site_fract_x
_atom_site_fract_y
_atom_site_fract_z
Rb1 Rb 0.133 0.000 0.067
Dy1 Dy 0.000 0.000 0.500
Zn1 Zn 0.173 0.500 0.497
Te1 Te 0.013 0.500 0.265
Te2 Te 0.201 0.000 0.666
```

Values from the calculation:
* total magnetization: 0.0 μB per cell
* formation energy (no corrections): -0.861 eV per atom
* D(E_F): 5.5 states/eV/cell

=====

[4]
Material: Ce3Pr4YTe8
Method: DFT, GGA-PBE
State: relaxed

Geometry as CIF:
```
data_Ce3Pr4YTe8
_chemical_formula_sum 'Ce9 Pr12 Y3 Te24'
_symmetry_space_group_name_H-M 'R -3 m'
_symmetry_Int_Tables_number 166
_symmetry_space_group_name_Hall '-R 3 2"'
_cell_length_a 8.9738
_cell_length_b 8.9738
_cell_length_c 22.1174
_cell_angle_alpha 90.00
_cell_angle_beta 90.00
_cell_angle_gamma 120.00
loop_
_atom_site_label
_atom_site_type_symbol
_atom_site_fract_x
_atom_site_fract_y
_atom_site_fract_z
Ce1 Ce 0.0000 0.5000 0.0000
Pr1 Pr 0.0000 0.0000 0.5000
Pr2 Pr 0.0000 0.5000 0.5000
Y1 Y 0.0000 0.0000 0.0000
Te1 Te 0.0000 0.0000 0.2511
Te2 Te 0.0046 0.5023 0.7477
```

Values from the calculation:
* total magnetization: 10.6 μB per cell
* formation energy (no corrections): -1.401 eV per atom
* D(E_F): 79.3 states/eV/cell

=====

[5]
Material: PrNd4Y6
Method: DFT, GGA-PBE
State: relaxed

Geometry as CIF:
```
data_PrNd4Y6
_chemical_formula_sum 'Pr4 Nd16 Y24'
_symmetry_space_group_name_H-M 'C m c m'
_symmetry_Int_Tables_number 63
_symmetry_space_group_name_Hall '-C 2c 2'
_cell_length_a 5.835
_cell_length_b 9.767
_cell_length_c 26.193
_cell_angle_alpha 90.00
_cell_angle_beta 90.00
_cell_angle_gamma 90.00
loop_
_atom_site_label
_atom_site_type_symbol
_atom_site_fract_x
_atom_site_fract_y
_atom_site_fract_z
Pr1 Pr 0.000 0.185 0.250
Nd1 Nd 0.000 0.157 0.544
Nd2 Nd 0.000 0.470 0.622
Y1 Y 0.000 0.143 0.682
Y2 Y 0.000 0.189 0.103
Y3 Y 0.000 0.480 0.750
Y4 Y 0.000 0.500 0.000
```

Values from the calculation:
* total magnetization: 0.0 μB per cell
* D(E_F): 81.9 states/eV/cell
* ΔH_f (0 K): 0.10 eV per atom
* energy relative to the lowest polymorph listed for this composition: 0.00 eV per formula unit

=====

[6]
Material: PmMo2H7
Method: DFT, GGA-PBE
State: relaxed

Geometry as CIF:
```
data_PmMo2H7
_chemical_formula_sum 'Pm2 Mo4 H14'
_symmetry_space_group_name_H-M 'C m m m'
_symmetry_Int_Tables_number 65
_symmetry_space_group_name_Hall '-C 2 2'
_cell_length_a 5.500
_cell_length_b 9.074
_cell_length_c 3.552
_cell_angle_alpha 90.00
_cell_angle_beta 90.00
_cell_angle_gamma 90.00
loop_
_atom_site_label
_atom_site_type_symbol
_atom_site_fract_x
_atom_site_fract_y
_atom_site_fract_z
Pm1 Pm 0.000 0.000 0.000
Mo1 Mo 0.000 0.301 0.500
H1 H 0.000 0.364 0.000
H2 H 0.000 0.500 0.500
H3 H 0.179 0.132 0.500
```

Values from the calculation:
* total magnetization: 0.0 μB per cell
* raw total energy: -5.04 eV/atom
* D(E_F): 6.8 states/eV/cell